1.
Below is a relaxed structure of Ta2RuSe, with properties calculated at the PBE level.

a b c (Å): 5.4661 5.4661 5.4661
angles (deg): 146.87 131.87 59.68
With the nearest neighbours (Å) after each atom.
Positions (direct):
Ru: 0.4847 0.4847 0.0000  2 Se 2.63, 6 Ta 2.73-2.87
Se: 0.2616 0.7616 0.5000  2 Ru 2.63, 6 Ta 2.73-2.81
Ta: 0.0148 0.0148 0.0000  4 Ru 2.73, 2 Se 2.81, 2 Ta 3.05
Ta: 0.7388 0.2388 0.5000  4 Se 2.73, 2 Ru 2.87, 2 Ta 3.05

Output
M_tot, μB/f.u.: 0.000
Symmetry: Imm2 (44)
Fermi-level density of states, states/eV per cell: 3.0
ΔE_f (raw), meV per atom: -63.9

=====

2.
Below is a relaxed structure of SnPbBr2, with properties calculated at the PBE level.

a b c (Å): 5.4834 5.4834 5.4834
angles (deg): 60.00 60.00 60.00
With the nearest neighbours (Å) after each atom.
Positions (direct):
Pb: 0.5000 0.5000 0.5000  8 Br 3.36
Sn: 0.0000 0.0000 0.0000  8 Br 3.36
Br: 0.2500 0.2500 0.2500  4 Pb 3.36, 4 Sn 3.36
Br: 0.7500 0.7500 0.7500  4 Pb 3.36, 4 Sn 3.36

Output
M_tot, μB/f.u.: 0.000
E above lowest polymorph, eV/f.u.: 0.59
Symmetry: Fm-3m (225)
Fermi-level density of states, states/eV per cell: 3.0
ΔE_f (raw), meV per atom: -198.0

=====

3.
Below is a relaxed structure of HgW2Au, with properties calculated at the PBE level.

a b c (Å): 5.0037 5.0037 5.2607
angles (deg): 83.99 83.99 32.33
With the nearest neighbours (Å) after each atom.
Positions (direct):
Au: 0.5040 0.5040 0.5036  2 Au 2.79, 3 Hg 2.79-2.96, 7 W 2.90-3.05
Hg: 0.7502 0.7502 0.7411  2 Hg 2.79, 3 Au 2.79-2.96, 7 W 2.94-3.02
W: 0.9996 0.9996 0.0204  5 W 2.74-2.92, 4 Au 2.90-3.05, 3 Hg 2.95-3.02
W: 0.2463 0.2463 0.2349  5 W 2.74-2.92, 3 Au 2.94-2.98, 4 Hg 2.94-3.01

Output
M_tot, μB/f.u.: 0.000
Energy of formation, eV per atom: 0.626
Symmetry: Cm (8)
Fermi-level density of states, states/eV per cell: 2.1

=====

4.
Below is a relaxed structure of Ce4Th5Cd, with properties calculated at the PBE level.

a b c (Å): 4.1569 4.1569 17.1076
angles (deg): 90.00 90.00 90.00
With the nearest neighbours (Å) after each atom.
Positions (direct):
Ce: 0.0000 0.0000 0.2083  1 Ce 3.14, 8 Th 3.34-3.48
Ce: 0.0000 0.0000 0.3920  1 Ce 3.14, 8 Th 3.33-3.47
Ce: 0.0000 0.0000 0.6080  1 Ce 3.14, 8 Th 3.33-3.47
Ce: 0.0000 0.0000 0.7917  1 Ce 3.14, 8 Th 3.34-3.48
Th: 0.5000 0.5000 0.1000  4 Cd 3.40, 2 Th 3.42-3.44, 4 Ce 3.48
Th: 0.5000 0.5000 0.3008  8 Ce 3.33-3.34, 2 Th 3.41-3.44
Th: 0.5000 0.5000 0.5000  2 Th 3.41, 8 Ce 3.47
Th: 0.5000 0.5000 0.6992  8 Ce 3.33-3.34, 2 Th 3.41-3.44
Th: 0.5000 0.5000 0.9000  4 Cd 3.40, 2 Th 3.42-3.44, 4 Ce 3.48
Cd: 0.0000 0.0000 0.0000  8 Th 3.40, 2 Ce 3.56

Output
M_tot, μB/f.u.: 0.000
Energy of formation, eV per atom: 0.103
Symmetry: P4/mmm (123)
Fermi-level density of states, states/eV per cell: 24.8

=====

5.
Below is a relaxed structure of CoRePCl2, with properties calculated at the PBE level.

a b c (Å): 4.3267 4.3267 4.9899
angles (deg): 90.00 90.00 90.00
With the nearest neighbours (Å) after each atom.
Positions (direct):
Re: 0.5000 0.5000 0.5000  4 P 3.06, 8 Cl 3.30
Co: 0.0000 0.0000 0.0000  4 Cl 2.16
P: 0.0000 0.0000 0.5000  2 Co 2.49
Cl: 0.0000 0.5000 0.0000  2 Co 2.16
Cl: 0.5000 0.0000 0.0000  2 Co 2.16

Output
M_tot, μB/f.u.: 3.825
E above lowest polymorph, eV/f.u.: 0.63
Symmetry: P4/mmm (123)
Fermi-level density of states, states/eV per cell: 4.0
ΔE_f (raw), meV per atom: 1055.3

=====

6.
Below is a relaxed structure of Ho7InRu4, with properties calculated at the PBE level.

a b c (Å): 5.4806 8.2814 7.2939
angles (deg): 75.90 67.93 70.68
With the nearest neighbours (Å) after each atom.
Positions (direct):
Ho: 0.7857 0.8775 0.5511  4 Ru 2.86-3.19, 1 Ho 3.15
Ho: 0.2143 0.1225 0.4489  4 Ru 2.86-3.19, 1 Ho 3.15
Ho: 0.0751 0.6256 0.2242  1 Ru 2.60
Ho: 0.9249 0.3744 0.7758  1 Ru 2.60
Ho: 0.3203 0.6311 0.7283  2 Ru 2.63-2.87
Ho: 0.5000 0.0000 0.0000  2 In 2.74, 4 Ru 2.76-2.79
Ho: 0.6797 0.3689 0.2717  2 Ru 2.63-2.87
In: 0.0000 0.0000 0.0000  2 Ho 2.74
Ru: 0.5650 0.2234 0.6466  3 Ho 2.63-2.86
Ru: 0.4350 0.7766 0.3534  3 Ho 2.63-2.86
Ru: 0.6987 0.6506 0.9521  3 Ho 2.60-2.87
Ru: 0.3013 0.3494 0.0479  3 Ho 2.60-2.87

Output
M_tot, μB/f.u.: 0.000
Energy of formation, eV per atom: -0.110
Symmetry: C2/m (12)
Fermi-level density of states, states/eV per cell: 8.6

=====

7.
Below is a relaxed structure of Na2OsW, with properties calculated at the PBE level.

a b c (Å): 4.6452 4.6452 4.6452
angles (deg): 60.00 60.00 60.00
With the nearest neighbours (Å) after each atom.
Positions (direct):
Na: 0.2500 0.2500 0.2500  4 Os 2.84, 4 W 2.84
Na: 0.7500 0.7500 0.7500  4 Os 2.84, 4 W 2.84
Os: 0.5000 0.5000 0.5000  8 Na 2.84
W: 0.0000 0.0000 0.0000  8 Na 2.84

Output
M_tot, μB/f.u.: 1.887
Energy of formation, eV per atom: 2.057
Symmetry: Fm-3m (225)
Fermi-level density of states, states/eV per cell: 5.3

=====

8.
Below is a relaxed structure of PmTh3, with properties calculated at the PBE level.

a b c (Å): 5.0694 5.0694 5.0694
angles (deg): 90.00 90.00 90.00
With the nearest neighbours (Å) after each atom.
Positions (direct):
Th: 0.0000 0.5000 0.5000  8 Th 3.58, 4 Pm 3.58
Th: 0.5000 0.0000 0.5000  8 Th 3.58, 4 Pm 3.58
Th: 0.5000 0.5000 0.0000  8 Th 3.58, 4 Pm 3.58
Pm: 0.0000 0.0000 0.0000  12 Th 3.58

Output
M_tot, μB/f.u.: 0.000
E above lowest polymorph, eV/f.u.: 0.04
Energy of formation, eV per atom: 0.073
Symmetry: Pm-3m (221)
Fermi-level density of states, states/eV per cell: 6.2

=====

9.
Below is a relaxed structure of Pm2NdH8, with properties calculated at the PBE level.

a b c (Å): 3.8054 5.3681 6.5866
angles (deg): 114.05 106.79 90.00
With the nearest neighbours (Å) after each atom.
Positions (direct):
Pm: 0.1696 0.6696 0.3392  8 H 2.29-2.39
Pm: 0.8304 0.3304 0.6608  8 H 2.29-2.39
Nd: 0.5000 0.0000 0.0000  8 H 2.32-2.40
H: 0.6613 0.8987 0.3227  3 Pm 2.29-2.39, 1 Nd 2.32, 4 H 2.37-2.55
H: 0.3387 0.5761 0.6773  3 Pm 2.29-2.39, 1 Nd 2.32, 4 H 2.37-2.55
H: 0.1589 0.1589 0.3179  8 H 2.33-2.41
H: 0.0000 0.2734 0.0000  2 Pm 2.29, 3 H 2.33-2.43, 2 Nd 2.40
H: 0.8411 0.8411 0.6821  8 H 2.33-2.41
H: 0.6613 0.4239 0.3227  3 Pm 2.29-2.39, 1 Nd 2.32, 4 H 2.37-2.55
H: 0.3387 0.1013 0.6773  3 Pm 2.29-2.39, 1 Nd 2.32, 4 H 2.37-2.55
H: 0.0000 0.7266 0.0000  2 Pm 2.29, 3 H 2.33-2.43, 2 Nd 2.40

Output
M_tot, μB/f.u.: 0.000
Symmetry: Immm (71)
VASP energy, eV per atom: -4.3291
Fermi-level density of states, states/eV per cell: 1.3

=====

10.
Below is a relaxed structure of Nd8SmEr6, with properties calculated at the PBE level.

a b c (Å): 6.5187 9.4698 9.4698
angles (deg): 120.00 90.00 90.00
With the nearest neighbours (Å) after each atom.
Positions (direct):
Nd: 0.8286 0.0400 0.2871  3 Nd 3.28-3.39, 1 Sm 3.33, 4 Er 3.35-3.56
Nd: 0.8286 0.7129 0.7529  3 Nd 3.28-3.39, 1 Sm 3.33, 4 Er 3.35-3.56
Nd: 0.8286 0.2471 0.9600  3 Nd 3.28-3.39, 1 Sm 3.33, 4 Er 3.35-3.56
Nd: 0.1714 0.9600 0.7129  3 Nd 3.28-3.39, 1 Sm 3.33, 4 Er 3.35-3.56
Nd: 0.1714 0.2871 0.2471  3 Nd 3.28-3.39, 1 Sm 3.33, 4 Er 3.35-3.56
Nd: 0.1714 0.7529 0.0400  3 Nd 3.28-3.39, 1 Sm 3.33, 4 Er 3.35-3.56
Nd: 0.8729 0.3333 0.6667  3 Nd 3.28
Nd: 0.1271 0.6667 0.3333  3 Nd 3.28
Sm: 0.5000 0.0000 0.0000  6 Nd 3.33
Er: 0.6627 0.6538 0.0965  1 Er 3.32, 4 Nd 3.35-3.56
Er: 0.6627 0.9035 0.5573  1 Er 3.32, 4 Nd 3.35-3.56
Er: 0.6627 0.4427 0.3462  1 Er 3.32, 4 Nd 3.35-3.56
Er: 0.3373 0.3462 0.9035  1 Er 3.32, 4 Nd 3.35-3.56
Er: 0.3373 0.0965 0.4427  1 Er 3.32, 4 Nd 3.35-3.56
Er: 0.3373 0.5573 0.6538  1 Er 3.32, 4 Nd 3.35-3.56

Output
M_tot, μB/f.u.: 0.000
E above lowest polymorph, eV/f.u.: 0.30
Energy of formation, eV per atom: 0.181
Symmetry: P-3 (147)
Fermi-level density of states, states/eV per cell: 24.8

=====

11.
Below is a relaxed structure of La2ScSe, with properties calculated at the PBE level.

a b c (Å): 9.7370 9.7370 9.7370
angles (deg): 22.50 22.50 22.50
With the nearest neighbours (Å) after each atom.
Positions (direct):
La: 0.0173 0.0173 0.0173  3 Se 3.03
La: 0.2452 0.2452 0.2452  3 Sc 3.56, 9 La 3.72-3.80
Sc: 0.4800 0.4800 0.4800  3 Se 2.71
Se: 0.7575 0.7575 0.7575  3 Sc 2.71, 3 La 3.03

Output
M_tot, μB/f.u.: 0.000
Symmetry: R3m (160)
Fermi-level density of states, states/eV per cell: 4.2
ΔE_f (raw), meV per atom: -769.7

=====

12.
Below is a relaxed structure of CsLaTlCu2, with properties calculated at the PBE level.

a b c (Å): 5.1034 6.2033 5.1034
angles (deg): 90.00 90.00 90.00
With the nearest neighbours (Å) after each atom.
Positions (direct):
Cs: 0.0000 0.5000 0.0000  2 Tl 3.10
Tl: 0.0000 0.0000 0.0000  4 Cu 2.55
Cu: 0.0000 0.0000 0.5000  2 Tl 2.55
Cu: 0.5000 0.0000 0.0000  2 Tl 2.55
La: 0.5000 0.5000 0.5000  4 Cs 3.61, 8 Cu 4.02

Output
M_tot, μB/f.u.: 0.000
Energy of formation, eV per atom: 0.832
Symmetry: P4/mmm (123)
Fermi-level density of states, states/eV per cell: 5.8

=====

Copy entry 4 word for word.
Below is a relaxed structure of Ce4Th5Cd, with properties calculated at the PBE level.

a b c (Å): 4.1569 4.1569 17.1076
angles (deg): 90.00 90.00 90.00
With the nearest neighbours (Å) after each atom.
Positions (direct):
Ce: 0.0000 0.0000 0.2083  1 Ce 3.14, 8 Th 3.34-3.48
Ce: 0.0000 0.0000 0.3920  1 Ce 3.14, 8 Th 3.33-3.47
Ce: 0.0000 0.0000 0.6080  1 Ce 3.14, 8 Th 3.33-3.47
Ce: 0.0000 0.0000 0.7917  1 Ce 3.14, 8 Th 3.34-3.48
Th: 0.5000 0.5000 0.1000  4 Cd 3.40, 2 Th 3.42-3.44, 4 Ce 3.48
Th: 0.5000 0.5000 0.3008  8 Ce 3.33-3.34, 2 Th 3.41-3.44
Th: 0.5000 0.5000 0.5000  2 Th 3.41, 8 Ce 3.47
Th: 0.5000 0.5000 0.6992  8 Ce 3.33-3.34, 2 Th 3.41-3.44
Th: 0.5000 0.5000 0.9000  4 Cd 3.40, 2 Th 3.42-3.44, 4 Ce 3.48
Cd: 0.0000 0.0000 0.0000  8 Th 3.40, 2 Ce 3.56

Output
M_tot, μB/f.u.: 0.000
Energy of formation, eV per atom: 0.103
Symmetry: P4/mmm (123)
Fermi-level density of states, states/eV per cell: 24.8

=====

Question: Number 9 is which compound?
Answer: Pm2NdH8

=====

Question: Number 8 is which compound?
Answer: PmTh3

=====

Question: Fermi-level density of states of number 2 (SnPbBr2)?
Answer: 3.0 states/eV per cell